This record from Alexandria via LeMat-Bulk describes crystalline NaMnAu2 at its relaxed geometry. The functional is PBE.

The structure belongs to space group Fm-3m (No. 225); the cell edges are 6.6319, 6.6319 and 6.6319 Å and the angles 90.00°, 90.00° and 90.00°. The distinct sites, in fractional coordinates, are Na at (0.0000, 0.0000, 0.0000), Mn at (0.0000, 0.0000, 0.5000) and Au at (0.2500, 0.2500, 0.2500).

The calculation puts the energy of formation from the pure elements at -0.9 kcal/mol of atoms. For the magnetization, the calculation gives 17.6 μB/cell. The value obtained for the relative energy among the computed polymorphs is 0.087 eV per atom.